1.
Computed, not measured: an optimized crystal structure of CsV3O8 at the GGA+U level of DFT.

The value obtained for the density of states at the Fermi level is 0.00 states/eV per cell. For the total magnetization, the calculation gives 0.000 μB per formula unit.

Unit cell a=8.7518 b=5.1484 c=8.4999 alpha=82.12 beta=90.00 gamma=90.00
Closest atoms and distances in Å follow each position.
Atoms (fractional coordinates):
O (0.0524, 0.5650, 0.1853)  1 V 1.63
O (0.5897, 0.6727, 0.4976)  3 V 1.91-1.99
O (0.7500, 0.0886, 0.5840)  1 V 1.62
O (0.0897, 0.3273, 0.5024)  3 V 1.91-1.99
O (0.2500, 0.4207, 0.7331)  2 V 1.88
O (0.9103, 0.6727, 0.4976)  3 V 1.91-1.99
O (0.2500, 0.9114, 0.4160)  1 V 1.62
O (0.9476, 0.4350, 0.8147)  1 V 1.63
O (0.5524, 0.4350, 0.8147)  1 V 1.63
O (0.4476, 0.5650, 0.1853)  1 V 1.63
O (0.6040, 0.1146, 0.2972)  2 V 1.78-1.93
O (0.1040, 0.8854, 0.7028)  2 V 1.78-1.93
O (0.4103, 0.3273, 0.5024)  3 V 1.91-1.99
O (0.3960, 0.8854, 0.7028)  2 V 1.78-1.93
O (0.8960, 0.1146, 0.2972)  2 V 1.78-1.93
O (0.7500, 0.5793, 0.2669)  2 V 1.88
Cs (0.2500, 0.0699, 0.0551)  6 O 3.06-3.39
Cs (0.7500, 0.9301, 0.9449)  6 O 3.06-3.39
V (0.7500, 0.9191, 0.4362)  1 O 1.62
V (0.5577, 0.4395, 0.3317)  2 O 1.63-1.78
V (0.2500, 0.0809, 0.5638)  1 O 1.62
V (0.0577, 0.5605, 0.6683)  2 O 1.63-1.78
V (0.4423, 0.5605, 0.6683)  2 O 1.63-1.78
V (0.9423, 0.4395, 0.3317)  2 O 1.63-1.78



2.
Computed, not measured: an optimized crystal structure of CsV3O8 at the GGA+U level of DFT.

The value obtained for the density of states at the Fermi level is 0.00 states/eV per cell. For the total magnetization, the calculation gives 0.000 μB per formula unit.

Unit cell a=5.3351 b=5.3351 c=9.3891 alpha=73.49 beta=73.49 gamma=60.00
Closest atoms and distances in Å follow each position.
Atoms (fractional coordinates):
V (0.0000, 0.0000, 0.0000)  6 O 1.89
V (0.7284, 0.7284, 0.8147)  4 O 1.66-1.77
V (0.2716, 0.2716, 0.1853)  4 O 1.66-1.77
O (0.2051, 0.6420, 0.1233)  2 V 1.77-1.89
O (0.3580, 0.9704, 0.8767)  2 V 1.77-1.89
O (0.0296, 0.2051, 0.1233)  2 V 1.77-1.89
O (0.7909, 0.7909, 0.6273)  1 V 1.66
O (0.2091, 0.2091, 0.3727)  1 V 1.66
O (0.9704, 0.7949, 0.8767)  2 V 1.77-1.89
O (0.6420, 0.0296, 0.1233)  2 V 1.77-1.89
O (0.7949, 0.3580, 0.8767)  2 V 1.77-1.89
Cs (0.5000, 0.5000, 0.5000)  6 O 3.28



Tell me which of them is the least stable. Sure, it is 2.



1.
Computed, not measured: an optimized crystal structure of CsVWO6 at the GGA+U level of DFT.

The value obtained for the density of states at the Fermi level is 0.00 states/eV per cell. For the total magnetization, the calculation gives 0.000 μB per formula unit.

Unit cell a=5.2116 b=5.2117 c=6.7557 alpha=90.00 beta=90.00 gamma=60.00
Closest atoms and distances in Å follow each position.
Atoms (fractional coordinates):
O (0.3996, 0.9915, 0.6643)  1 W 1.86, 1 V 2.07
O (0.4050, 0.5973, 0.3366)  1 V 1.79
O (0.6089, 0.3996, 0.6643)  1 W 1.86, 1 V 2.07
O (0.9915, 0.6089, 0.6642)  1 W 1.86, 1 V 2.07
O (0.5972, 0.9977, 0.3366)  1 V 1.79
O (0.9976, 0.4051, 0.3366)  1 V 1.79
Cs (0.0000, 0.0000, 0.0019)  6 O 3.07-3.09
W (0.3333, 0.3333, 0.5321)  6 O 1.86-2.07
V (0.6667, 0.6667, 0.4633)  3 O 1.79



2.
Computed, not measured: an optimized crystal structure of CsVWO6 at the GGA+U level of DFT.

The value obtained for the density of states at the Fermi level is 0.00 states/eV per cell. For the total magnetization, the calculation gives 0.000 μB per formula unit.

Unit cell a=7.2561 b=7.2561 c=7.2561 alpha=121.19 beta=118.95 gamma=89.89
Closest atoms and distances in Å follow each position.
Atoms (fractional coordinates):
O (0.9478, 0.6978, 0.2500)  2 V 1.86
O (0.9448, 0.6854, 0.8784)  1 V 1.91, 1 W 1.93
O (0.3070, 0.0664, 0.6216)  1 V 1.91, 1 W 1.93
O (0.9448, 0.0664, 0.2594)  1 V 1.91, 1 W 1.93
O (0.3070, 0.6854, 0.2406)  1 V 1.91, 1 W 1.93
O (0.0552, 0.9336, 0.7406)  1 V 1.91, 1 W 1.93
O (0.3167, 0.0667, 0.2500)  2 W 1.97
O (0.6833, 0.9333, 0.7500)  2 W 1.97
O (0.0522, 0.3022, 0.7500)  2 V 1.86
O (0.6930, 0.3146, 0.7594)  1 V 1.91, 1 W 1.93
O (0.6930, 0.9336, 0.3784)  1 V 1.91, 1 W 1.93
O (0.0552, 0.3146, 0.1216)  1 V 1.91, 1 W 1.93
Cs (0.3667, 0.6167, 0.7500)  12 O 3.22-3.60
Cs (0.6333, 0.3833, 0.2500)  12 O 3.22-3.60
W (0.0000, 0.0000, 0.0000)  6 O 1.93-1.97
W (0.5000, 0.0000, 0.5000)  6 O 1.93-1.97
V (0.0000, 0.0000, 0.5000)  6 O 1.86-1.91
V (0.0000, 0.5000, 0.0000)  6 O 1.86-1.91



Tell me which of them is the least stable. Sure, it is 1.



1.
Computed, not measured: an optimized crystal structure of Cs3WO4 at the GGA+U level of DFT.

For the total magnetization, the calculation gives 1.000 μB per formula unit.

Unit cell a=6.7764 b=6.7764 c=6.7764 alpha=90.84 beta=119.11 gamma=119.93
Closest atoms and distances in Å follow each position.
Atoms (fractional coordinates):
W (0.0091, 0.5000, 0.5091)  4 O 1.89
Cs (0.5347, 0.2357, 0.7704)  3 O 2.92-3.01
Cs (0.0550, 0.0000, 0.0550)  4 O 2.83-3.09
Cs (0.5347, 0.7643, 0.2991)  3 O 2.92-3.01
O (0.1265, 0.6798, 0.8063)  1 W 1.89
O (0.1265, 0.3202, 0.4468)  1 W 1.89
O (0.1287, 0.7465, 0.3822)  1 W 1.89
O (0.6357, 0.2535, 0.3822)  1 W 1.89



2.
Computed, not measured: an optimized crystal structure of Cs3WO4 at the GGA+U level of DFT.

The value obtained for the density of states at the Fermi level is 1.87 states/eV per cell. For the total magnetization, the calculation gives 0.141 μB per formula unit.

Unit cell a=7.8971 b=7.8971 c=7.8971 alpha=68.76 beta=132.93 gamma=132.93
Closest atoms and distances in Å follow each position.
Atoms (fractional coordinates):
Cs (0.0000, 0.5000, 0.5000)  4 O 3.15
Cs (0.5000, 0.2500, 0.7500)  4 O 3.22
Cs (0.5000, 0.7500, 0.2500)  4 O 3.22
O (0.0000, 0.0859, 0.7516)  1 W 1.83
O (0.0000, 0.7516, 0.0859)  1 W 1.83
O (0.6657, 0.9141, 0.9141)  1 W 1.83
O (0.3343, 0.2484, 0.2484)  1 W 1.83
W (0.0000, 0.0000, 0.0000)  4 O 1.83



Tell me which of them is the least stable. Sure, it is 2.